# 1
# SrHfCd | OQMD | PBE | optimized geometry
# - energy above the most stable polymorph in this dataset (kcal/mol of atoms) = 7.29
# - total DFT energy (no corrections) (eV per cell) = -35.30
# - ρ (g/cm³) = 6.37
data_SrHfCd
_space_group_name_H-M_alt 'F -4 3 m'
_space_group_IT_number 216
_space_group_name_Hall 'F -4 2 3'
_cell_length_a 7.334
_cell_length_b 7.334
_cell_length_c 7.334
_cell_angle_alpha 90.00
_cell_angle_beta 90.00
_cell_angle_gamma 90.00
loop_
_atom_site_label
_atom_site_type_symbol
_atom_site_fract_x
_atom_site_fract_y
_atom_site_fract_z
_atom_site_occupancy
Sr1 Sr 0.000 0.000 0.000 1
Hf1 Hf 0.250 0.250 0.250 1
Cd1 Cd 0.250 0.250 0.750 1

# 2
# Dy3YPb2N2 | OQMD | PBE | optimized geometry
# - total DFT energy (no corrections) (eV per cell) = -53.15
# - ρ (g/cm³) = 9.93
data_Dy3YPb2N2
_space_group_name_H-M_alt 'P 3 m 1'
_space_group_IT_number 156
_space_group_name_Hall 'P 3 -2"'
_cell_length_a 3.5501
_cell_length_b 3.5501
_cell_length_c 15.6158
_cell_angle_alpha 90.00
_cell_angle_beta 90.00
_cell_angle_gamma 120.00
loop_
_atom_site_label
_atom_site_type_symbol
_atom_site_fract_x
_atom_site_fract_y
_atom_site_fract_z
_atom_site_occupancy
Dy1 Dy 0.0000 0.0000 0.0000 1
Dy2 Dy 0.0000 0.0000 0.3336 1
Dy3 Dy 0.3333 0.6667 0.5001 1
Y1 Y 0.3333 0.6667 0.8331 1
Pb1 Pb 0.0000 0.0000 0.6666 1
Pb2 Pb 0.3333 0.6667 0.1668 1
N1 N 0.6667 0.3333 0.4168 1
N2 N 0.6667 0.3333 0.9176 1

# 3
# CdH6C8I2Br2N4 | OQMD | PBE | optimized geometry
# - total DFT energy (no corrections) (eV per cell) = -269.58
# - ρ (g/cm³) = 3.16
data_CdH6C8I2Br2N4
_space_group_name_H-M_alt 'P 1 21/c 1'
_space_group_IT_number 14
_space_group_name_Hall '-P 2ybc'
_cell_length_a 4.017
_cell_length_b 17.091
_cell_length_c 10.478
_cell_angle_alpha 90.00
_cell_angle_beta 90.66
_cell_angle_gamma 90.00
loop_
_atom_site_label
_atom_site_type_symbol
_atom_site_fract_x
_atom_site_fract_y
_atom_site_fract_z
_atom_site_occupancy
Cd1 Cd 0.000 0.000 0.000 1
H1 H 0.200 0.024 0.703 1
H2 H 0.215 0.686 0.548 1
H3 H 0.269 0.717 0.230 1
C1 C 0.073 0.138 0.620 1
C2 C 0.096 0.082 0.717 1
C3 C 0.136 0.671 0.645 1
C4 C 0.162 0.725 0.745 1
I1 I 0.249 0.109 0.436 1
Br1 Br 0.500 0.081 0.130 1
N1 N 0.010 0.600 0.665 1
N2 N 0.058 0.708 0.863 1

# 4
# HfZrAs2 | OQMD | PBE | optimized geometry
# - energy above the most stable polymorph in this dataset (kcal/mol of atoms) = 0.05
# - total DFT energy (no corrections) (eV per cell) = -64.24
# - ρ (g/cm³) = 8.58
data_HfZrAs2
_space_group_name_H-M_alt 'P -3 m 1'
_space_group_IT_number 164
_space_group_name_Hall '-P 3 2"'
_cell_length_a 3.8163
_cell_length_b 3.8163
_cell_length_c 12.8729
_cell_angle_alpha 90.00
_cell_angle_beta 90.00
_cell_angle_gamma 120.00
loop_
_atom_site_label
_atom_site_type_symbol
_atom_site_fract_x
_atom_site_fract_y
_atom_site_fract_z
_atom_site_occupancy
Hf1 Hf 0.3333 0.6667 0.1164 1
Zr1 Zr 0.3333 0.6667 0.3828 1
As1 As 0.0000 0.0000 0.0000 1
As2 As 0.0000 0.0000 0.5000 1
As3 As 0.3333 0.6667 0.7533 1

# 5
# PmI2 | OQMD | PBE | optimized geometry
# - energy above the most stable polymorph in this dataset (kcal/mol of atoms) = 0.00
# - total DFT energy (no corrections) (eV per cell) = -46.78
# - ρ (g/cm³) = 5.32
data_PmI2
_space_group_name_H-M_alt 'C m c e'
_space_group_IT_number 64
_space_group_name_Hall '-C 2ac 2'
_cell_length_a 4.204
_cell_length_b 7.271
_cell_length_c 16.275
_cell_angle_alpha 90.00
_cell_angle_beta 90.00
_cell_angle_gamma 90.00
loop_
_atom_site_label
_atom_site_type_symbol
_atom_site_fract_x
_atom_site_fract_y
_atom_site_fract_z
_atom_site_occupancy
Pm1 Pm 0.000 0.000 0.000 1
I1 I 0.000 0.166 0.375 1

# 6
# SrNbIn | OQMD | PBE | optimized geometry
# - energy above the most stable polymorph in this dataset (kcal/mol of atoms) = 0.00
# - total DFT energy (no corrections) (eV per cell) = -47.60
# - ρ (g/cm³) = 5.36
data_SrNbIn
_space_group_name_H-M_alt 'F -4 3 m'
_space_group_IT_number 216
_space_group_name_Hall 'F -4 2 3'
_cell_length_a 7.155
_cell_length_b 7.155
_cell_length_c 7.155
_cell_angle_alpha 90.00
_cell_angle_beta 90.00
_cell_angle_gamma 90.00
loop_
_atom_site_label
_atom_site_type_symbol
_atom_site_fract_x
_atom_site_fract_y
_atom_site_fract_z
_atom_site_occupancy
Sr1 Sr 0.000 0.000 0.000 1
Nb1 Nb 0.250 0.250 0.750 1
In1 In 0.000 0.000 0.500 1

# 7
# Al3PdPt | OQMD | PBE | optimized geometry
# - total DFT energy (no corrections) (eV per cell) = -26.93
# - ρ (g/cm³) = 7.83
data_Al3PdPt
_space_group_name_H-M_alt 'P 3 m 1'
_space_group_IT_number 156
_space_group_name_Hall 'P 3 -2"'
_cell_length_a 4.2424
_cell_length_b 4.2424
_cell_length_c 5.2053
_cell_angle_alpha 90.00
_cell_angle_beta 90.00
_cell_angle_gamma 120.00
loop_
_atom_site_label
_atom_site_type_symbol
_atom_site_fract_x
_atom_site_fract_y
_atom_site_fract_z
_atom_site_occupancy
Al1 Al 0.0000 0.0000 0.0000 1
Al2 Al 0.3333 0.6667 0.6355 1
Al3 Al 0.6667 0.3333 0.3434 1
Pd1 Pd 0.6667 0.3333 0.8273 1
Pt1 Pt 0.3333 0.6667 0.1505 1

# 8
# PrAgPbS3 | OQMD | PBE | optimized geometry
# - energy above the most stable polymorph in this dataset (kcal/mol of atoms) = 0.58
# - total DFT energy (no corrections) (eV per cell) = -118.76
# - ρ (g/cm³) = 6.25
data_PrAgPbS3
_space_group_name_H-M_alt 'C m c m'
_space_group_IT_number 63
_space_group_name_Hall '-C 2c 2'
_cell_length_a 4.110
_cell_length_b 13.250
_cell_length_c 10.772
_cell_angle_alpha 90.00
_cell_angle_beta 90.00
_cell_angle_gamma 90.00
loop_
_atom_site_label
_atom_site_type_symbol
_atom_site_fract_x
_atom_site_fract_y
_atom_site_fract_z
_atom_site_occupancy
Pr1 Pr 0.000 0.000 0.000 1
Ag1 Ag 0.000 0.471 0.250 1
Pb1 Pb 0.000 0.245 0.750 1
S1 S 0.000 0.090 0.250 1
S2 S 0.000 0.357 0.064 1

# 9
# LiAsPd2 | OQMD | PBE | optimized geometry
# - total DFT energy (no corrections) (eV per cell) = -18.94
# - ρ (g/cm³) = 8.37
data_LiAsPd2
_space_group_name_H-M_alt 'P 4/m m m'
_space_group_IT_number 123
_space_group_name_Hall '-P 4 2'
_cell_length_a 4.268
_cell_length_b 4.268
_cell_length_c 3.211
_cell_angle_alpha 90.00
_cell_angle_beta 90.00
_cell_angle_gamma 90.00
loop_
_atom_site_label
_atom_site_type_symbol
_atom_site_fract_x
_atom_site_fract_y
_atom_site_fract_z
_atom_site_occupancy
Li1 Li 0.000 0.000 0.000 1
As1 As 0.500 0.500 0.000 1
Pd1 Pd 0.000 0.500 0.500 1

# 10
# PrNbCo | OQMD | PBE | optimized geometry
# - total DFT energy (no corrections) (eV per cell) = -76.93
# - E_form (meV/atom) = 914
# - ρ (g/cm³) = 7.48
data_PrNbCo
_space_group_name_H-M_alt 'F -4 3 m'
_space_group_IT_number 216
_space_group_name_Hall 'F -4 2 3'
_cell_length_a 6.381
_cell_length_b 6.381
_cell_length_c 6.381
_cell_angle_alpha 90.00
_cell_angle_beta 90.00
_cell_angle_gamma 90.00
loop_
_atom_site_label
_atom_site_type_symbol
_atom_site_fract_x
_atom_site_fract_y
_atom_site_fract_z
_atom_site_occupancy
Pr1 Pr 0.000 0.000 0.000 1
Nb1 Nb 0.250 0.250 0.750 1
Co1 Co 0.000 0.000 0.500 1

# 11
# UZnTc | OQMD | PBE | optimized geometry
# - energy above the most stable polymorph in this dataset (kcal/mol of atoms) = 5.72
# - total DFT energy (no corrections) (eV per cell) = -80.48
# - E_form (meV/atom) = 934
# - ρ (g/cm³) = 10.52
data_UZnTc
_space_group_name_H-M_alt 'F -4 3 m'
_space_group_IT_number 216
_space_group_name_Hall 'F -4 2 3'
_cell_length_a 6.328
_cell_length_b 6.328
_cell_length_c 6.328
_cell_angle_alpha 90.00
_cell_angle_beta 90.00
_cell_angle_gamma 90.00
loop_
_atom_site_label
_atom_site_type_symbol
_atom_site_fract_x
_atom_site_fract_y
_atom_site_fract_z
_atom_site_occupancy
U1 U 0.000 0.000 0.000 1
Zn1 Zn 0.250 0.250 0.250 1
Tc1 Tc 0.250 0.250 0.750 1

# 12
# ZnNiAsPt | OQMD | PBE | optimized geometry
# - total DFT energy (no corrections) (eV per cell) = -72.73
# - ρ (g/cm³) = 11.36
data_ZnNiAsPt
_space_group_name_H-M_alt 'F -4 3 m'
_space_group_IT_number 216
_space_group_name_Hall 'F -4 2 3'
_cell_length_a 6.131
_cell_length_b 6.131
_cell_length_c 6.131
_cell_angle_alpha 90.00
_cell_angle_beta 90.00
_cell_angle_gamma 90.00
loop_
_atom_site_label
_atom_site_type_symbol
_atom_site_fract_x
_atom_site_fract_y
_atom_site_fract_z
_atom_site_occupancy
Zn1 Zn 0.000 0.000 0.000 1
Ni1 Ni 0.250 0.250 0.750 1
As1 As 0.000 0.000 0.500 1
Pt1 Pt 0.250 0.250 0.250 1

What did the eleventh record say?
# UZnTc | OQMD | PBE | optimized geometry
# - energy above the most stable polymorph in this dataset (kcal/mol of atoms) = 5.72
# - total DFT energy (no corrections) (eV per cell) = -80.48
# - E_form (meV/atom) = 934
# - ρ (g/cm³) = 10.52
data_UZnTc
_space_group_name_H-M_alt 'F -4 3 m'
_space_group_IT_number 216
_space_group_name_Hall 'F -4 2 3'
_cell_length_a 6.328
_cell_length_b 6.328
_cell_length_c 6.328
_cell_angle_alpha 90.00
_cell_angle_beta 90.00
_cell_angle_gamma 90.00
loop_
_atom_site_label
_atom_site_type_symbol
_atom_site_fract_x
_atom_site_fract_y
_atom_site_fract_z
_atom_site_occupancy
U1 U 0.000 0.000 0.000 1
Zn1 Zn 0.250 0.250 0.250 1
Tc1 Tc 0.250 0.250 0.750 1

Which value of total DFT energy (no corrections) does entry 7 give? -26.93 eV per cell

Look up the total DFT energy (no corrections) of the tenth one. -76.93 eV per cell